(1)
InAgPb4 | PBE | optimized geometry

abc: 6.460 6.460 6.460
angles: 60.00 60.00 60.00
Fractional coordinates of all 6 atoms:
Pb 0.375 0.375 0.875
Pb 0.375 0.375 0.375
Pb 0.375 0.875 0.375
Pb 0.875 0.375 0.375
In 0.000 0.000 0.000
Ag 0.750 0.750 0.750

Computed properties:
Distance to the lowest polymorph of the same formula   0.247 eV/atom
Space group   F-43m
Crystal system   cubic
E   -3.1283 eV per atom
Formation energy from the elements   0.28 eV per atom

***

(2)
In3AgPb6 | PBE | optimized geometry

abc: 6.350 9.510 10.825
angles: 116.06 90.00 90.00
Fractional coordinates of all 20 atoms:
Pb 0.045 0.654 0.938
Pb 0.379 0.396 0.395
Pb 0.805 0.960 0.919
Pb 0.157 0.324 0.648
Pb 0.045 0.285 0.938
Pb 0.545 0.346 0.062
Pb 0.305 0.040 0.081
Pb 0.879 0.001 0.605
Pb 0.657 0.676 0.352
Pb 0.879 0.604 0.605
Pb 0.545 0.715 0.062
Pb 0.379 0.999 0.395
In 0.634 0.387 0.774
In 0.902 0.957 0.257
In 0.134 0.613 0.226
In 0.902 0.300 0.257
In 0.402 0.043 0.743
In 0.402 0.700 0.743
Ag 0.240 0.758 0.516
Ag 0.740 0.242 0.484

Computed properties:
Space group   Cmc2_1
Crystal system   orthorhombic
E   -3.2867 eV per atom
Formation energy from the elements   0.04 eV per atom

***

(3)
In6AgPb12 | PBE | optimized geometry

abc: 9.144 9.144 9.144
angles: 110.67 110.67 110.67
Fractional coordinates of all 19 atoms:
Ag 0.000 0.000 0.000
Pb 0.620 0.933 0.413
Pb 0.261 0.902 0.851
Pb 0.902 0.851 0.261
Pb 0.933 0.413 0.620
Pb 0.739 0.098 0.149
Pb 0.149 0.739 0.098
Pb 0.413 0.620 0.933
Pb 0.587 0.380 0.067
Pb 0.851 0.261 0.902
Pb 0.380 0.067 0.587
Pb 0.067 0.587 0.380
Pb 0.098 0.149 0.739
In 0.688 0.540 0.790
In 0.210 0.312 0.460
In 0.460 0.210 0.312
In 0.312 0.460 0.210
In 0.790 0.688 0.540
In 0.540 0.790 0.688

Computed properties:
Space group   R-3
Crystal system   trigonal
E   -3.3235 eV per atom
Formation energy from the elements   0.03 eV per atom

***

(4)
InAgPb2 | PBE | optimized geometry

abc: 3.452 3.452 9.071
angles: 90.00 90.00 90.00
Fractional coordinates of all 4 atoms:
Pb 0.000 0.000 0.032
Pb 0.000 0.000 0.468
In 0.500 0.500 0.750
Ag 0.500 0.500 0.250

Computed properties:
Space group   P4/mmm
Crystal system   tetragonal
E   -3.2086 eV per atom
Formation energy from the elements   0.04 eV per atom

***

(5)
In3AgPb12 | PBE | optimized geometry

abc: 4.828 4.828 20.488
angles: 90.00 90.00 90.00
Fractional coordinates of all 16 atoms:
Pb 0.500 0.500 0.756
Pb 0.500 0.000 0.372
Pb 0.500 0.000 0.117
Pb 0.500 0.500 0.244
Pb 0.000 0.500 0.883
Pb 0.500 0.000 0.883
Pb 0.500 0.000 0.628
Pb 0.000 0.500 0.117
Pb 0.500 0.500 0.000
Pb 0.500 0.500 0.500
Pb 0.000 0.500 0.628
Pb 0.000 0.500 0.372
In 0.000 0.000 0.500
In 0.000 0.000 0.754
In 0.000 0.000 0.246
Ag 0.000 0.000 0.000

Computed properties:
Space group   P4/mmm
Crystal system   tetragonal
E   -3.4455 eV per atom
Formation energy from the elements   0.03 eV per atom

***

(6)
In2AgPb | PBE | optimized geometry

abc: 3.388 3.387 8.848
angles: 90.00 90.00 90.00
Fractional coordinates of all 4 atoms:
In 0.000 0.000 0.537
In 0.000 0.000 0.963
Ag 0.500 0.500 0.750
Pb 0.500 0.500 0.250

Computed properties:
Space group   P4/mmm
Crystal system   tetragonal
E   -2.9785 eV per atom
Formation energy from the elements   0.03 eV per atom

***

(7)
InAgPb2 | PBE | optimized geometry

abc: 5.028 5.028 10.226
angles: 90.00 90.00 120.00
Fractional coordinates of all 8 atoms:
In 0.000 0.000 0.750
In 0.000 0.000 0.250
Pb 0.667 0.333 0.920
Pb 0.333 0.667 0.080
Pb 0.667 0.333 0.580
Pb 0.333 0.667 0.420
Ag 0.333 0.667 0.750
Ag 0.667 0.333 0.250

Computed properties:
Space group   P6_3/mmc
Crystal system   hexagonal
E   -3.1482 eV per atom
Formation energy from the elements   0.10 eV per atom

***

(8)
InAgPb3 | PBE | optimized geometry

abc: 5.546 5.546 5.546
angles: 90.00 90.00 90.00
Fractional coordinates of all 5 atoms:
Pb 0.500 0.000 0.000
Pb 0.000 0.500 0.000
Pb 0.000 0.000 0.500
Ag 0.000 0.000 0.000
In 0.500 0.500 0.500

Computed properties:
Distance to the lowest polymorph of the same formula   0.000 eV/atom
Space group   Pm-3m
Crystal system   cubic
E   -2.9982 eV per atom
Formation energy from the elements   0.34 eV per atom

***

(9)
In2AgPb | PBE | optimized geometry

abc: 6.643 5.598 6.433
angles: 118.28 149.90 59.50
Fractional coordinates of all 4 atoms:
Pb 0.750 0.750 0.250
In 0.966 0.026 0.017
In 0.534 0.474 0.483
Ag 0.250 0.250 0.750

Computed properties:
Space group   P-1
Crystal system   triclinic
E   -2.9521 eV per atom
Formation energy from the elements   0.06 eV per atom

***

(10)
In2AgPb | PBE | optimized geometry

abc: 5.608 5.608 5.608
angles: 129.65 129.65 73.97
Fractional coordinates of all 4 atoms:
In 0.000 0.000 0.000
In 0.250 0.750 0.500
Ag 0.750 0.250 0.500
Pb 0.500 0.500 0.000

Computed properties:
Space group   I-4m2
Crystal system   tetragonal
E   -2.9303 eV per atom
Formation energy from the elements   0.08 eV per atom

***

(11)
InAgPb2 | PBE | optimized geometry

abc: 4.514 4.875 4.875
angles: 90.00 90.00 90.00
Fractional coordinates of all 4 atoms:
Pb 0.000 0.500 0.500
Pb 0.000 0.000 0.000
In 0.500 0.000 0.500
Ag 0.500 0.500 0.000

Computed properties:
Space group   P4/mmm
Crystal system   tetragonal
E   -3.1646 eV per atom
Formation energy from the elements   0.09 eV per atom

***

(12)
In2AgPb | PBE | optimized geometry

abc: 5.526 5.526 3.421
angles: 90.00 90.00 90.00
Fractional coordinates of all 4 atoms:
In 0.500 0.500 0.000
In 0.000 0.000 0.000
Ag 0.000 0.500 0.500
Pb 0.500 0.000 0.500

Computed properties:
Space group   P4/mmm
Crystal system   tetragonal
E   -2.8863 eV per atom
Formation energy from the elements   0.12 eV per atom